Computed, not measured: an optimized crystal structure of LaReIr4 at the PBE level of DFT.

Computed properties:
- E_form: 17.55 kJ per mole of atoms
- Symmetry: No. 216
- Mass density: 17.28 g/cm³
- Total magnetic moment: 0.047 μB per atom

abc: 5.2977 5.2977 5.2977
angles: 60.00 60.00 60.00
Element x y z (fractional)
1 La 0.0000 0.0000 0.0000
2 Re 0.7500 0.7500 0.7500
3 Ir 0.3756 0.3756 0.3756
4 Ir 0.3756 0.3756 0.8732
5 Ir 0.3756 0.8732 0.3756
6 Ir 0.8732 0.3756 0.3756